(1)
VASP calculation (GGA-PBE) on PmZnRhPb after structural relaxation.

Cell lengths 4.9293, 4.9293, 4.9293 Å; angles 60.00, 60.00, 60.00 degrees
Closest atoms and distances in Å follow each position.
Sites, in units of the cell vectors:
Pm: 0.0000 0.0000 0.0000  4 Rh 3.02, 4 Zn 3.02
Zn: 0.7500 0.7500 0.7500  4 Pb 3.02, 4 Pm 3.02
Rh: 0.2500 0.2500 0.2500  4 Pb 3.02, 4 Pm 3.02
Pb: 0.5000 0.5000 0.5000  4 Rh 3.02, 4 Zn 3.02

Properties
D(E_F) = 3.19 states/eV/cell
raw total energy = -0.169 Ha/atom
crystal system = cubic
total magnetic moment = 0.0000 μB/atom

***

(2)
VASP calculation (GGA-PBE) on Pm4RuPb2 after structural relaxation.

Cell lengths 6.2770, 6.2770, 8.9455 Å; angles 120.66, 120.66, 44.80 degrees
Closest atoms and distances in Å follow each position.
Sites, in units of the cell vectors:
Pm: 0.0629 0.0629 0.3490  1 Ru 2.79
Pm: 0.3353 0.3353 0.9495  2 Ru 2.94, 2 Pb 3.23
Pm: 0.6647 0.6647 0.0505  2 Ru 2.94, 2 Pb 3.23
Pm: 0.9371 0.9371 0.6510  1 Ru 2.79
Ru: 0.0000 0.0000 0.0000  6 Pm 2.79-2.94
Pb: 0.3363 0.3363 0.3292  8 Pm 3.23-3.49, 1 Pb 3.31, 1 Ru 3.35
Pb: 0.6637 0.6637 0.6708  8 Pm 3.23-3.49, 1 Pb 3.31, 1 Ru 3.35

Properties
D(E_F) = 5.90 states/eV/cell
raw total energy = -0.203 Ha/atom
crystal system = monoclinic
total magnetic moment = 0.0000 μB/atom

***

(3)
VASP calculation (GGA-PBE) on Pm5Ru2Pb after structural relaxation.

Cell lengths 9.0154, 9.0154, 9.0154 Å; angles 127.95, 127.95, 76.71 degrees
Closest atoms and distances in Å follow each position.
Sites, in units of the cell vectors:
Pm: 0.0000 0.0000 0.0000  4 Ru 3.05
Pm: 0.0282 0.5282 0.8184  3 Ru 2.90-3.02
Pm: 0.2098 0.0282 0.5000  3 Ru 2.90-3.02
Pm: 0.2902 0.7902 0.8184  3 Ru 2.90-3.02
Pm: 0.4718 0.2902 0.5000  3 Ru 2.90-3.02
Pm: 0.5000 0.5000 0.0000  4 Ru 3.05
Pm: 0.5282 0.7098 0.5000  3 Ru 2.90-3.02
Pm: 0.7098 0.2098 0.1816  3 Ru 2.90-3.02
Pm: 0.7902 0.9718 0.5000  3 Ru 2.90-3.02
Pm: 0.9718 0.4718 0.1816  3 Ru 2.90-3.02
Ru: 0.1419 0.3581 0.5000  8 Pm 2.90-3.05, 1 Ru 3.18
Ru: 0.3581 0.8581 0.2161  8 Pm 2.90-3.05, 1 Ru 3.18
Ru: 0.6419 0.1419 0.7839  8 Pm 2.90-3.05, 1 Ru 3.18
Ru: 0.8581 0.6419 0.5000  8 Pm 2.90-3.05, 1 Ru 3.18
Pb: 0.2500 0.2500 0.0000  10 Pm 3.42-3.53
Pb: 0.7500 0.7500 0.0000  10 Pm 3.42-3.53

Properties
D(E_F) = 15.12 states/eV/cell
raw total energy = -0.224 Ha/atom
crystal system = tetragonal
total magnetic moment = 0.0000 μB/atom

***

(4)
VASP calculation (GGA-PBE) on PmRuPb after structural relaxation.

Cell lengths 4.7691, 4.7691, 3.6263 Å; angles 90.00, 90.00, 120.00 degrees
Closest atoms and distances in Å follow each position.
Sites, in units of the cell vectors:
Pm: 0.0000 0.0000 0.0000  6 Ru 3.30, 6 Pb 3.30, 2 Pm 3.63
Ru: 0.6667 0.3333 0.5000  3 Pb 2.75
Pb: 0.3333 0.6667 0.5000  3 Ru 2.75

Properties
D(E_F) = 2.23 states/eV/cell
raw total energy = -0.221 Ha/atom
crystal system = hexagonal
total magnetic moment = 0.0000 μB/atom

***

(5)
VASP calculation (GGA-PBE) on Pm7Ru2Pb2 after structural relaxation.

Cell lengths 7.0021, 7.0021, 7.3258 Å; angles 90.00, 90.00, 106.44 degrees
Closest atoms and distances in Å follow each position.
Sites, in units of the cell vectors:
Pm: 0.0000 0.0000 0.0000  2 Ru 3.23
Pm: 0.0000 0.5000 0.2455  2 Ru 2.79
Pm: 0.0000 0.5000 0.7545  2 Ru 2.79
Pm: 0.5000 0.0000 0.2455  2 Ru 2.79
Pm: 0.5000 0.0000 0.7545  2 Ru 2.79
Pm: 0.5000 0.5000 0.2308  2 Ru 2.92
Pm: 0.5000 0.5000 0.7692  2 Ru 2.92
Ru: 0.2877 0.7123 0.0000  6 Pm 2.79-2.92
Ru: 0.7123 0.2877 0.0000  6 Pm 2.79-2.92
Pb: 0.1847 0.1847 0.5000  1 Pb 3.10, 6 Pm 3.30-3.41
Pb: 0.8153 0.8153 0.5000  1 Pb 3.10, 6 Pm 3.30-3.41

Properties
D(E_F) = 11.38 states/eV/cell
raw total energy = -0.207 Ha/atom
crystal system = orthorhombic
total magnetic moment = 0.0000 μB/atom

***

(6)
VASP calculation (GGA-PBE) on Pm7RuPb4 after structural relaxation.

Cell lengths 8.3388, 8.3388, 11.4179 Å; angles 123.04, 123.04, 37.78 degrees
Closest atoms and distances in Å follow each position.
Sites, in units of the cell vectors:
Pm: 0.0000 0.0000 0.0000  2 Ru 2.70
Pm: 0.1415 0.1415 0.5495  5 Pb 3.20-3.30
Pm: 0.2844 0.2844 0.1268  4 Pb 3.13-3.42
Pm: 0.4272 0.4272 0.7270  1 Ru 2.63
Pm: 0.5728 0.5728 0.2730  1 Ru 2.63
Pm: 0.7156 0.7156 0.8732  4 Pb 3.13-3.42
Pm: 0.8585 0.8585 0.4505  5 Pb 3.20-3.30
Ru: 0.5000 0.5000 0.0000  4 Pm 2.63-2.70
Pb: 0.0783 0.0783 0.7744  8 Pm 3.23-3.44
Pb: 0.2249 0.2249 0.3449  7 Pm 3.13-3.46
Pb: 0.7751 0.7751 0.6551  7 Pm 3.13-3.46
Pb: 0.9217 0.9217 0.2256  8 Pm 3.23-3.44

Properties
D(E_F) = 8.52 states/eV/cell
raw total energy = -0.184 Ha/atom
crystal system = monoclinic
total magnetic moment = 0.0000 μB/atom

***

(7)
VASP calculation (GGA-PBE) on Pm6RuPb6 after structural relaxation.

Cell lengths 6.7095, 6.7095, 10.6675 Å; angles 90.00, 90.00, 119.74 degrees
Closest atoms and distances in Å follow each position.
Sites, in units of the cell vectors:
Pm: 0.0000 0.0000 0.2386  1 Ru 2.54
Pm: 0.0000 0.0000 0.7614  1 Ru 2.54
Pm: 0.3325 0.6675 0.0000  6 Pb 3.33
Pm: 0.3327 0.6673 0.5000  6 Pb 3.26-3.27
Pm: 0.6675 0.3325 0.0000  6 Pb 3.33
Pm: 0.6673 0.3327 0.5000  6 Pb 3.26-3.27
Ru: 0.0000 0.0000 0.0000  2 Pm 2.54
Pb: 0.0000 0.5000 0.2540  6 Pm 3.26-3.36, 4 Pb 3.35-3.37
Pb: 0.0000 0.5000 0.7460  6 Pm 3.26-3.36, 4 Pb 3.35-3.37
Pb: 0.5000 0.0000 0.2540  6 Pm 3.26-3.36, 4 Pb 3.35-3.37
Pb: 0.5000 0.0000 0.7460  6 Pm 3.26-3.36, 4 Pb 3.35-3.37
Pb: 0.5000 0.5000 0.2539  6 Pm 3.27-3.37, 4 Pb 3.35
Pb: 0.5000 0.5000 0.7461  6 Pm 3.27-3.37, 4 Pb 3.35

Properties
D(E_F) = 12.31 states/eV/cell
raw total energy = -0.177 Ha/atom
crystal system = orthorhombic
total magnetic moment = 0.0000 μB/atom

***

(8)
VASP calculation (GGA-PBE) on Pm4RuPb2 after structural relaxation.

Cell lengths 9.2419, 9.2419, 9.2419 Å; angles 147.49, 147.49, 46.64 degrees
Closest atoms and distances in Å follow each position.
Sites, in units of the cell vectors:
Pm: 0.0000 0.5000 0.5000  2 Ru 2.59
Pm: 0.1742 0.1742 0.0000  1 Ru 2.96, 1 Pb 3.18
Pm: 0.5000 0.0000 0.5000  2 Ru 2.59
Pm: 0.8258 0.8258 0.0000  1 Ru 2.96, 1 Pb 3.18
Ru: 0.0000 0.0000 0.0000  4 Pm 2.59
Pb: 0.3617 0.3617 0.0000  5 Pm 3.18-3.49
Pb: 0.6383 0.6383 0.0000  5 Pm 3.18-3.49

Properties
D(E_F) = 4.76 states/eV/cell
raw total energy = -0.198 Ha/atom
crystal system = tetragonal
total magnetic moment = 0.0000 μB/atom